The following is a PBE calculation of a geometry-optimized Nd3Al5H12 structure, from the Alexandria database.

space group: Ia-3d, No. 230
raw total energy: -3.651 eV/atom

a = 10.579 Å, b = 10.579 Å, c = 10.579 Å
α = 109.47°, β = 109.47°, γ = 109.47°
Sites, in units of the cell vectors:
H 0.909 0.082 0.884
H 0.418 0.116 0.591
H 0.918 0.091 0.616
H 0.909 0.827 0.525
H 0.802 0.327 0.918
Nd 0.375 0.750 0.625
Al 0.000 0.500 0.000
Al 0.750 0.125 0.875
H 0.802 0.475 0.384
Al 0.000 0.500 0.500
Al 0.250 0.875 0.125
Al 0.500 0.000 0.000
H 0.475 0.673 0.091
Nd 0.625 0.250 0.375
Nd 0.875 0.125 0.250
H 0.582 0.884 0.409
H 0.616 0.591 0.918
H 0.091 0.918 0.116
H 0.409 0.384 0.582
H 0.525 0.198 0.116
Al 0.500 0.500 0.000
Al 0.875 0.625 0.750
Al 0.375 0.125 0.750
Nd 0.125 0.250 0.875
Al 0.750 0.625 0.375
H 0.616 0.025 0.198
H 0.384 0.975 0.802
H 0.827 0.918 0.302
H 0.673 0.475 0.591
Al 0.250 0.375 0.625
H 0.673 0.198 0.582
H 0.475 0.802 0.884
H 0.409 0.025 0.327
H 0.591 0.616 0.418
H 0.884 0.582 0.909
H 0.418 0.302 0.327
Al 0.625 0.750 0.875
H 0.591 0.975 0.673
H 0.091 0.173 0.475
H 0.116 0.418 0.091
Nd 0.125 0.875 0.750
H 0.198 0.673 0.082
H 0.025 0.409 0.827
Al 0.500 0.500 0.500
Nd 0.625 0.375 0.750
H 0.302 0.418 0.827
Nd 0.375 0.625 0.250
H 0.116 0.698 0.525
Al 0.000 0.000 0.500
H 0.025 0.616 0.698
H 0.698 0.116 0.025
Nd 0.750 0.375 0.125
Al 0.500 0.000 0.500
Nd 0.250 0.625 0.875
H 0.918 0.827 0.802
H 0.884 0.302 0.475
Nd 0.875 0.750 0.125
H 0.384 0.409 0.082
H 0.975 0.384 0.302
H 0.525 0.327 0.909
H 0.827 0.909 0.025
H 0.327 0.525 0.409
H 0.302 0.884 0.975
Al 0.625 0.875 0.250
H 0.082 0.909 0.384
Nd 0.750 0.875 0.625
Nd 0.250 0.125 0.375
H 0.975 0.591 0.173
Al 0.375 0.250 0.125
H 0.082 0.173 0.198
Al 0.875 0.250 0.625
H 0.582 0.698 0.673
H 0.173 0.082 0.698
Al 0.125 0.375 0.250
H 0.698 0.582 0.173
H 0.198 0.525 0.616
H 0.173 0.091 0.975
Al 0.125 0.750 0.375
H 0.327 0.802 0.418
Al 0.000 0.000 0.000



The following is a PBE calculation of a geometry-optimized CeGaRh2 structure, from the Alexandria database.

space group: P4/mmm, No. 123
E_form: -639.7 meV per atom

a = 3.094 Å, b = 3.094 Å, c = 7.111 Å
α = 90.00°, β = 90.00°, γ = 90.00°
Sites, in units of the cell vectors:
Ce 0.500 0.500 0.500
Rh 0.000 0.000 0.794
Ga 0.500 0.500 0.000
Rh 0.000 0.000 0.206



| no. | Fermi-level density of states (states/eV/f.u.) |
| --- | --- |
| 1 | 5.609 |
| 2 | 4.723 |